Density functional theory data (PBE) for crystalline Rb3IrCl8 at its relaxed geometry.

Unit cell a=8.9315 b=9.9102 c=9.9102 alpha=120.00 beta=90.00 gamma=90.00
Sites, in units of the cell vectors:
Cl 0.4995 0.5561 0.1122
Cl 0.2997 0.2219 0.4438
Cl 0.2997 0.2219 0.7781
Cl 0.9995 0.4439 0.5561
Cl 0.2997 0.5562 0.7781
Cl 0.4584 0.0000 0.0000
Cl 0.6561 0.3333 0.6667
Cl 0.1561 0.6667 0.3333
Cl 0.7997 0.7781 0.2219
Cl 0.7997 0.7781 0.5562
Cl 0.9995 0.4439 0.8878
Cl 0.4995 0.8878 0.4439
Cl 0.7997 0.4438 0.2219
Cl 0.9995 0.1122 0.5561
Cl 0.9584 0.0000 0.0000
Cl 0.4995 0.5561 0.4439
Rb 0.2043 0.8484 0.1516
Rb 0.2043 0.3033 0.1516
Rb 0.7043 0.1516 0.3033
Rb 0.2043 0.8484 0.6967
Rb 0.7043 0.6967 0.8484
Rb 0.7043 0.1516 0.8484
Ir 0.1483 0.3333 0.6667
Ir 0.6483 0.6667 0.3333

Computed properties:
Symmetry: P6_3mc (186)
Crystal system: hexagonal

---

Density functional theory data (PBE) for crystalline Rb3IrCl6 at its relaxed geometry.

Unit cell a=8.8479 b=8.8479 c=8.8479 alpha=90.28 beta=90.28 gamma=90.28
Sites, in units of the cell vectors:
Rb 0.7562 0.4381 0.9313
Rb 0.2438 0.5619 0.0687
Rb 0.4381 0.9313 0.7562
Rb 0.5619 0.0687 0.2438
Rb 0.0687 0.2438 0.5619
Rb 0.9313 0.7562 0.4381
Cl 0.4414 0.2413 0.5481
Cl 0.0839 0.2485 0.9376
Cl 0.9376 0.0839 0.2485
Cl 0.2485 0.9376 0.0839
Cl 0.5586 0.7587 0.4519
Cl 0.4519 0.5586 0.7587
Cl 0.9161 0.7515 0.0624
Cl 0.0624 0.9161 0.7515
Cl 0.5481 0.4414 0.2413
Cl 0.7587 0.4519 0.5586
Cl 0.7515 0.0624 0.9161
Cl 0.2413 0.5481 0.4414
Ir 0.0000 0.0000 0.0000
Ir 0.5000 0.5000 0.5000

Computed properties:
Offset from the most stable computed form in meV/atom: 0.0
Symmetry: R-3 (148)
Crystal system: trigonal

---

no.,total DFT energy (no corrections) (eV per cell)
1,-80.5
2,-72.9